Compound: Np2P6Pd21
Source: Alexandria via LeMat-Bulk
Functional: GGA-PBE
Structure: relaxed

Calculated values
Formation energy from the elements = -14.051 eV/f.u.
Crystal system = cubic

a = 8.6531 Å, b = 8.6531 Å, c = 8.6531 Å
α = 60.00°, β = 60.00°, γ = 60.00°
Last column: nearest neighbours and their distance in Å.
Fractional coordinates of all 29 atoms:
1 Np 0.2500 0.2500 0.2500  4 Pd 2.86
2 Np 0.7500 0.7500 0.7500  4 Pd 2.86
3 P 0.2395 0.2395 0.7605  8 Pd 2.37-2.51
4 P 0.2395 0.7605 0.2395  8 Pd 2.37-2.51
5 P 0.2395 0.7605 0.7605  8 Pd 2.37-2.51
6 P 0.7605 0.2395 0.2395  8 Pd 2.37-2.51
7 P 0.7605 0.2395 0.7605  8 Pd 2.37-2.51
8 P 0.7605 0.7605 0.2395  8 Pd 2.37-2.51
9 Pd 0.1149 0.1149 0.1149  3 P 2.51
10 Pd 0.1149 0.1149 0.6554  3 P 2.51
11 Pd 0.1149 0.6554 0.1149  3 P 2.51
12 Pd 0.1554 0.5000 0.5000  2 P 2.37
13 Pd 0.1554 0.5000 0.8446  2 P 2.37
14 Pd 0.1554 0.8446 0.5000  2 P 2.37
15 Pd 0.3446 0.8851 0.8851  3 P 2.51
16 Pd 0.5000 0.1554 0.5000  2 P 2.37
17 Pd 0.5000 0.1554 0.8446  2 P 2.37
18 Pd 0.5000 0.5000 0.1554  2 P 2.37
19 Pd 0.5000 0.5000 0.5000  12 Pd 2.98, 6 P 3.19
20 Pd 0.5000 0.5000 0.8446  2 P 2.37
21 Pd 0.5000 0.8446 0.1554  2 P 2.37
22 Pd 0.5000 0.8446 0.5000  2 P 2.37
23 Pd 0.6554 0.1149 0.1149  3 P 2.51
24 Pd 0.8446 0.1554 0.5000  2 P 2.37
25 Pd 0.8446 0.5000 0.1554  2 P 2.37
26 Pd 0.8446 0.5000 0.5000  2 P 2.37
27 Pd 0.8851 0.3446 0.8851  3 P 2.51
28 Pd 0.8851 0.8851 0.3446  3 P 2.51
29 Pd 0.8851 0.8851 0.8851  3 P 2.51



Compound: NpP3Pd3
Source: Alexandria via LeMat-Bulk
Functional: GGA-PBE
Structure: relaxed

Calculated values
Formation energy from the elements = -3.771 eV/f.u.
Crystal system = trigonal

a = 7.5427 Å, b = 7.5427 Å, c = 7.5427 Å
α = 53.96°, β = 53.96°, γ = 53.96°
Last column: nearest neighbours and their distance in Å.
Fractional coordinates of all 14 atoms:
1 Np 0.1682 0.1682 0.1682  6 P 2.72-2.76
2 Np 0.8318 0.8318 0.8318  6 P 2.72-2.76
3 P 0.0635 0.4167 0.7694  4 Pd 2.37-2.48
4 P 0.2306 0.9365 0.5833  4 Pd 2.37-2.48
5 P 0.4167 0.7694 0.0635  4 Pd 2.37-2.48
6 P 0.5833 0.2306 0.9365  4 Pd 2.37-2.48
7 P 0.7694 0.0635 0.4167  4 Pd 2.37-2.48
8 P 0.9365 0.5833 0.2306  4 Pd 2.37-2.48
9 Pd 0.0729 0.6894 0.3741  4 P 2.37-2.48
10 Pd 0.3106 0.6259 0.9271  4 P 2.37-2.48
11 Pd 0.3741 0.0729 0.6894  4 P 2.37-2.48
12 Pd 0.6259 0.9271 0.3106  4 P 2.37-2.48
13 Pd 0.6894 0.3741 0.0729  4 P 2.37-2.48
14 Pd 0.9271 0.3106 0.6259  4 P 2.37-2.48



Compound: Np2P7Pd12
Source: Alexandria via LeMat-Bulk
Functional: GGA-PBE
Structure: relaxed

Calculated values
Formation energy from the elements = -11.428 eV/f.u.
Crystal system = trigonal

a = 9.7976 Å, b = 9.7976 Å, c = 3.9835 Å
α = 90.00°, β = 90.00°, γ = 120.00°
Last column: nearest neighbours and their distance in Å.
Fractional coordinates of all 21 atoms:
1 Np 0.3333 0.6667 0.2493  6 P 2.98-3.00, 6 Pd 3.25
2 Np 0.6667 0.3333 0.7507  6 P 2.98-3.00, 6 Pd 3.25
3 P 0.0000 0.0000 0.5000  6 Pd 2.37
4 P 0.1293 0.7085 0.7532  6 Pd 2.41-2.66
5 P 0.2915 0.4208 0.7532  6 Pd 2.41-2.66
6 P 0.4208 0.1293 0.2468  6 Pd 2.41-2.66
7 P 0.5792 0.8707 0.7532  6 Pd 2.41-2.66
8 P 0.7085 0.5792 0.2468  6 Pd 2.41-2.66
9 P 0.8707 0.2915 0.2468  6 Pd 2.41-2.66
10 Pd 0.0500 0.4327 0.7485  4 P 2.41-2.56
11 Pd 0.0938 0.2487 0.2404  2 P 2.37-2.42
12 Pd 0.1549 0.9062 0.2404  2 P 2.37-2.42
13 Pd 0.2487 0.1549 0.7596  2 P 2.37-2.42
14 Pd 0.3827 0.9500 0.7485  4 P 2.41-2.56
15 Pd 0.4327 0.3827 0.2515  4 P 2.41-2.56
16 Pd 0.5673 0.6173 0.7485  4 P 2.41-2.56
17 Pd 0.6173 0.0500 0.2515  4 P 2.41-2.56
18 Pd 0.7513 0.8451 0.2404  2 P 2.37-2.42
19 Pd 0.8451 0.0938 0.7596  2 P 2.37-2.42
20 Pd 0.9062 0.7513 0.7596  2 P 2.37-2.42
21 Pd 0.9500 0.5673 0.2515  4 P 2.41-2.56



Compound: Np3P4Pd4
Source: Alexandria via LeMat-Bulk
Functional: GGA-PBE
Structure: relaxed

Calculated values
Formation energy from the elements = -6.836 eV/f.u.
Crystal system = orthorhombic
Energy above the lowest structure with this stoichiometry = 0.121 eV/atom

a = 8.2704 Å, b = 6.3459 Å, c = 6.3459 Å
α = 34.89°, β = 90.00°, γ = 90.00°
Last column: nearest neighbours and their distance in Å.
Fractional coordinates of all 11 atoms:
1 Np 0.0000 0.0000 0.0000  2 Np 2.48, 2 P 2.77
2 Np 0.2682 0.0910 0.0910  1 Np 2.48
3 Np 0.7318 0.0910 0.0910  1 Np 2.48
4 P 0.0000 0.6665 0.6665  2 Pd 2.40
5 P 0.2211 0.4209 0.4209  4 Pd 2.34-2.44
6 P 0.5000 0.6655 0.6655  3 Pd 2.44-2.57
7 P 0.7789 0.4209 0.4209  4 Pd 2.34-2.44
8 Pd 0.0000 0.2879 0.2879  4 P 2.40-2.44
9 Pd 0.2820 0.8015 0.8015  3 P 2.44
10 Pd 0.5000 0.4529 0.4529  3 P 2.34-2.57
11 Pd 0.7180 0.8015 0.8015  3 P 2.44



Compound: NpPPd
Source: Alexandria via LeMat-Bulk
Functional: GGA-PBE
Structure: relaxed

Calculated values
Formation energy from the elements = -2.132 eV/f.u.
Crystal system = monoclinic

a = 6.8533 Å, b = 4.1067 Å, c = 11.5446 Å
α = 90.00°, β = 91.44°, γ = 90.00°
Last column: nearest neighbours and their distance in Å.
Fractional coordinates of all 18 atoms:
1 Np 0.0134 0.2500 0.2872  5 P 2.79-2.91, 5 Pd 3.05-3.10
2 Np 0.3475 0.7500 0.9225  5 P 2.82-2.93, 3 Pd 3.09-3.13
3 Np 0.4799 0.7500 0.6186  5 P 2.88-2.92, 5 Pd 3.09-3.17
4 Np 0.5201 0.2500 0.3814  5 P 2.88-2.92, 5 Pd 3.09-3.17
5 Np 0.6525 0.2500 0.0775  5 P 2.82-2.93, 3 Pd 3.09-3.13
6 Np 0.9866 0.7500 0.7128  5 P 2.79-2.91, 5 Pd 3.05-3.10
7 P 0.2297 0.7500 0.4144  4 Pd 2.58-2.66, 3 Np 2.88-2.89
8 P 0.2421 0.2500 0.0904  5 Pd 2.55-2.68, 2 Np 2.79-2.82
9 P 0.2795 0.2500 0.7513  3 Pd 2.53-2.67
10 P 0.7205 0.7500 0.2487  3 Pd 2.53-2.67
11 P 0.7579 0.7500 0.9096  5 Pd 2.55-2.68, 2 Np 2.79-2.82
12 P 0.7703 0.2500 0.5856  4 Pd 2.58-2.66, 3 Np 2.88-2.89
13 Pd 0.0097 0.2500 0.9139  4 P 2.55-2.68, 1 Pd 2.83
14 Pd 0.1495 0.2500 0.5406  4 P 2.57-2.66
15 Pd 0.3574 0.7500 0.2043  4 P 2.53-2.60
16 Pd 0.6426 0.2500 0.7957  4 P 2.53-2.60
17 Pd 0.8505 0.7500 0.4594  4 P 2.57-2.66
18 Pd 0.9903 0.7500 0.0861  4 P 2.55-2.68, 1 Pd 2.83



Compound: Np3P4Pd2
Source: Alexandria via LeMat-Bulk
Functional: GGA-PBE
Structure: relaxed

Calculated values
Formation energy from the elements = -6.490 eV/f.u.
Crystal system = monoclinic

a = 7.4246 Å, b = 7.4246 Å, c = 6.5228 Å
α = 111.57°, β = 111.57°, γ = 30.69°
Last column: nearest neighbours and their distance in Å.
Fractional coordinates of all 9 atoms:
1 Np 0.0000 0.0000 0.0000  6 P 2.81-2.86
2 Np 0.1376 0.1376 0.5733  7 P 2.75-2.98
3 Np 0.8624 0.8624 0.4267  7 P 2.75-2.98
4 P 0.2097 0.2097 0.2386  3 Pd 2.49-2.59, 1 Np 2.75
5 P 0.4906 0.4906 0.3094  1 P 2.40, 1 Pd 2.43
6 P 0.5094 0.5094 0.6906  1 P 2.40, 1 Pd 2.43
7 P 0.7903 0.7903 0.7614  3 Pd 2.49-2.59, 1 Np 2.75
8 Pd 0.3243 0.3243 0.0134  4 P 2.43-2.59
9 Pd 0.6757 0.6757 0.9866  4 P 2.43-2.59



Compound: NpP3Pd
Source: Alexandria via LeMat-Bulk
Functional: GGA-PBE
Structure: relaxed

Calculated values
Formation energy from the elements = -2.281 eV/f.u.
Crystal system = orthorhombic

a = 11.5439 Å, b = 5.3686 Å, c = 5.5045 Å
α = 90.00°, β = 90.00°, γ = 90.00°
Last column: nearest neighbours and their distance in Å.
Fractional coordinates of all 20 atoms:
1 Np 0.1860 0.0074 0.2500  9 P 2.76-2.88
2 Np 0.1860 0.4926 0.7500  9 P 2.76-2.88
3 Np 0.8140 0.5074 0.2500  9 P 2.76-2.88
4 Np 0.8140 0.9926 0.7500  9 P 2.76-2.88
5 P 0.0019 0.7500 0.0000  4 P 2.68-2.75, 4 Np 2.88
6 P 0.0019 0.7500 0.5000  4 P 2.68-2.75, 4 Np 2.88
7 P 0.2528 0.5074 0.2500  2 Pd 2.68, 1 P 2.78, 4 Np 2.79-2.86
8 P 0.2528 0.9926 0.7500  2 Pd 2.68, 1 P 2.78, 4 Np 2.79-2.86
9 P 0.4178 0.1295 0.2500  4 Pd 2.43-2.46
10 P 0.4178 0.3705 0.7500  4 Pd 2.43-2.46
11 P 0.5822 0.6295 0.2500  4 Pd 2.43-2.46
12 P 0.5822 0.8705 0.7500  4 Pd 2.43-2.46
13 P 0.7472 0.0074 0.2500  2 Pd 2.68, 1 P 2.78, 4 Np 2.79-2.86
14 P 0.7472 0.4926 0.7500  2 Pd 2.68, 1 P 2.78, 4 Np 2.79-2.86
15 P 0.9981 0.2500 0.0000  4 P 2.68-2.75, 4 Np 2.88
16 P 0.9981 0.2500 0.5000  4 P 2.68-2.75, 4 Np 2.88
17 Pd 0.4176 0.7500 0.0000  6 P 2.43-2.68
18 Pd 0.4176 0.7500 0.5000  6 P 2.43-2.68
19 Pd 0.5824 0.2500 0.0000  6 P 2.43-2.68
20 Pd 0.5824 0.2500 0.5000  6 P 2.43-2.68



Compound: NpP2Pd2
Source: Alexandria via LeMat-Bulk
Functional: GGA-PBE
Structure: relaxed

Calculated values
Formation energy from the elements = -2.186 eV/f.u.
Crystal system = monoclinic

a = 6.4256 Å, b = 6.4256 Å, c = 5.6353 Å
α = 112.38°, β = 112.38°, γ = 98.31°
Last column: nearest neighbours and their distance in Å.
Fractional coordinates of all 10 atoms:
1 Np 0.1340 0.8660 0.7500  4 P 2.77-2.86
2 Np 0.8660 0.1340 0.2500  4 P 2.77-2.86
3 P 0.1604 0.8396 0.2500  4 Pd 2.32-2.48
4 P 0.4194 0.5806 0.7500  4 Pd 2.41-2.44
5 P 0.5806 0.4194 0.2500  4 Pd 2.41-2.44
6 P 0.8396 0.1604 0.7500  4 Pd 2.32-2.48
7 Pd 0.2050 0.4581 0.9719  4 P 2.32-2.48
8 Pd 0.4581 0.2050 0.4719  4 P 2.32-2.48
9 Pd 0.5419 0.7950 0.5281  4 P 2.32-2.48
10 Pd 0.7950 0.5419 0.0281  4 P 2.32-2.48



no.,total DFT energy (no corrections) (eV for the cell shown),magnetization (μB per formula unit)
1,-181.4,7.33
2,-97.0,3.55
3,-137.5,8.79
4,-88.1,5.76
5,-154.1,3.99
6,-77.3,10.78
7,-146.6,3.35
8,-72.7,3.95